1.
Sc3BN | PBE | optimized geometry

Cell and atoms, written as POSCAR:
```
Sc3BN
1.0
-2.1521 2.2765 2.8750
-3.6651 -1.2246 -1.7739
-0.1217 -3.3760 2.5821
Sc B N
3 1 1
direct
0.0000 0.5000 0.0000
0.0000 0.0000 0.5000
0.5000 0.0000 0.0000
0.5000 0.5000 0.5000
0.0000 0.0000 0.0000
```

Summary:
- Energy relative to the lowest polymorph listed for this composition: 0.0 kJ per mole of atoms
- ΔE_f (raw): -0.67 eV/atom

2.
KBaLa2Os | PBE | optimized geometry

Cell and atoms, written as POSCAR:
```
KBaLa2Os
1.0
5.6821 0.0000 0.0000
0.0000 5.6821 0.0000
0.0000 0.0000 6.5710
K Os Ba La
1 1 1 2
direct
0.5000 0.5000 0.5000
0.0000 0.0000 0.0000
0.0000 0.0000 0.5000
0.0000 0.5000 0.0000
0.5000 0.0000 0.0000
```

Summary:
- Energy relative to the elements: 132 meV per atom

3.
YCuSb2 | PBE | optimized geometry

Cell and atoms, written as POSCAR:
```
YCuSb2
1.0
4.0247 0.0000 0.0000
0.0000 4.0247 0.0000
0.0000 0.0000 6.0190
Cu Sb Y
1 2 1
direct
0.5000 0.5000 0.7999
0.0000 0.0000 0.9490
0.5000 0.5000 0.2885
0.0000 0.0000 0.4626
```

Summary:
- Energy relative to the lowest polymorph listed for this composition: 29.9 kJ per mole of atoms
- ΔE_f (raw): -0.31 eV/atom

4.
Zn7Cu2Rh3 | PBE | optimized geometry

Cell and atoms, written as POSCAR:
```
Zn7Cu2Rh3
1.0
-0.5834 -2.3392 1.6802
1.5632 -2.6030 -3.0811
11.9153 2.2107 7.2145
Zn Cu Rh
7 2 3
direct
0.0000 0.4253 0.8505
0.0000 0.7268 0.4535
0.0000 0.0000 0.0000
0.0000 0.5747 0.1495
0.5000 0.1005 0.2009
0.5000 0.8995 0.7991
0.0000 0.2732 0.5465
0.0000 0.8218 0.6437
0.0000 0.1782 0.3563
0.5000 0.5000 0.0000
0.5000 0.6509 0.3018
0.5000 0.3491 0.6982
```

Summary:
- Energy relative to the elements: -157 meV per atom

5.
ZnFeNi2 | PBE | optimized geometry

Cell and atoms, written as POSCAR:
```
ZnFeNi2
1.0
2.5704 0.0000 0.0000
0.0000 2.5704 0.0000
0.0000 0.0000 7.1242
Fe Ni Zn
1 2 1
direct
0.5000 0.5000 0.7627
0.0000 0.0000 0.0026
0.5000 0.5000 0.2430
0.0000 0.0000 0.4917
```

Summary:
- Energy relative to the elements: -44 meV per atom

6.
Mn2HgRh | PBE | optimized geometry

Cell and atoms, written as POSCAR:
```
Mn2HgRh
1.0
4.9001 -0.1982 -0.5527
2.0000 4.4777 0.5527
-3.1593 -2.6086 2.7513
Hg Mn Rh
1 2 1
direct
0.2500 0.7500 0.5000
0.0000 0.0000 0.0000
0.7501 0.2501 0.5000
0.5000 0.5000 0.0000
```

Summary:
- Energy relative to the elements: 155 meV per atom

Here are the calculated energy numbers, same order: -7.474 -4.689 -5.013 -3.420 -5.369 -6.343 (eV per atom).